No. 1
Here is a relaxed structure of Zr2BSeCl from Alexandria. Energies are from GGA-PBEsol.

V, Å³/atom: 16.93
Symmetry: P4/mmm
Magnetic moment, μB/atom: 0.0000
ρ, g cm⁻³: 6.0
Formation energy from raw total energies, meV per atom: 262

a b c (Å): 3.688 4.791 4.791
angles (deg): 90.00 90.00 90.00
Element x y z (fractional)
1 B 0.500 0.000 0.000
2 Se 0.500 0.500 0.500
3 Zr 0.000 0.000 0.500
4 Zr 0.000 0.500 0.000
5 Cl 0.000 0.000 0.000


No. 2
Here is a relaxed structure of Ta2MoW from Alexandria. Energies are from GGA-PBEsol.

DFT total energy, eV per formula unit: -51.3
V, Å³/atom: 16.37
Symmetry: P4/mmm
Magnetic moment, μB/atom: 0.0000
ρ, g cm⁻³: 16.3

a b c (Å): 3.198 3.198 6.403
angles (deg): 90.00 90.00 90.00
Element x y z (fractional)
1 Mo 0.500 0.500 0.500
2 W 0.500 0.500 0.000
3 Ta 0.000 0.000 0.748
4 Ta 0.000 0.000 0.252


No. 3
Here is a relaxed structure of ZrPbW2 from Alexandria. Energies are from GGA-PBEsol.

DFT total energy, eV per formula unit: -38.9
V, Å³/atom: 18.50
Symmetry: Immm
Magnetic moment, μB/atom: 0.0000
ρ, g cm⁻³: 14.9

a b c (Å): 3.450 4.591 5.485
angles (deg): 114.74 108.33 90.00
Element x y z (fractional)
1 Pb 0.000 0.500 0.000
2 W 0.760 0.760 0.520
3 W 0.240 0.240 0.480
4 Zr 0.500 0.000 0.000


No. 4
Here is a relaxed structure of CuSi2 from Alexandria. Energies are from GGA-PBEsol.

V, Å³/atom: 16.72
Symmetry: P4/mmm
Magnetic moment, μB/atom: 0.0000
ρ, g cm⁻³: 4.0
Formation energy from raw total energies, meV per atom: 655

a b c (Å): 3.342 3.342 4.492
angles (deg): 90.00 90.00 90.00
Element x y z (fractional)
1 Cu 0.000 0.000 0.000
2 Si 0.000 0.000 0.500
3 Si 0.500 0.500 0.000


No. 5
Here is a relaxed structure of Li3PbCl from Alexandria. Energies are from GGA-PBEsol.

V, Å³/atom: 30.12
Symmetry: Pm-3m
Magnetic moment, μB/atom: 0.4000
ρ, g cm⁻³: 2.9
Formation energy from raw total energies, meV per atom: -73
E above lowest polymorph, kJ per mole of atoms: 60.8

a b c (Å): 5.320 5.320 5.320
angles (deg): 90.00 90.00 90.00
Element x y z (fractional)
1 Pb 0.000 0.000 0.000
2 Li 0.000 0.500 0.000
3 Li 0.000 0.000 0.500
4 Li 0.500 0.000 0.000
5 Cl 0.500 0.500 0.500


No. 6
Here is a relaxed structure of MgZrHg2 from Alexandria. Energies are from GGA-PBEsol.

DFT total energy, eV per formula unit: -12.9
V, Å³/atom: 20.83
Symmetry: Amm2
Magnetic moment, μB/atom: 0.0000
ρ, g cm⁻³: 10.3

a b c (Å): 3.173 4.611 5.913
angles (deg): 90.00 105.56 90.00
Element x y z (fractional)
1 Mg 0.082 0.000 0.164
2 Hg 0.823 0.000 0.647
3 Hg 0.664 0.500 0.328
4 Zr 0.412 0.500 0.823